# KAlCo3Si3H2O12 (PBE+U, relaxed)
# Calculated volume   12.007 Å³/atom
# VASP energy   -6.7571 eV per atom
# Total moment   9.06 μB per cell
data_KAlCo3Si3H2O12
_space_group_name_H-M_alt 'P 1'
_space_group_IT_number 1
_space_group_name_Hall 'P 1'
_cell_length_a 5.359
_cell_length_b 5.362
_cell_length_c 10.753
_cell_angle_alpha 80.72
_cell_angle_beta 85.33
_cell_angle_gamma 60.02
loop_
_atom_site_label
_atom_site_type_symbol
_atom_site_fract_x
_atom_site_fract_y
_atom_site_fract_z
K1 K 0.000 0.000 0.000
Al1 Al 0.334 0.400 0.791
Co1 Co 0.335 0.819 0.530
Co2 Co 0.663 0.156 0.529
Co3 Co 0.999 0.493 0.529
Si1 Si 0.334 0.241 0.262
Si2 Si 0.666 0.733 0.796
Si3 Si 0.667 0.576 0.262
H1 H 0.001 0.097 0.714
H2 H 0.986 0.894 0.335
O1 O 0.000 0.127 0.623
O2 O 0.001 0.428 0.203
O3 O 0.333 0.189 0.414
O4 O 0.337 0.453 0.625
O5 O 0.431 0.630 0.850
O6 O 0.501 0.427 0.205
O7 O 0.501 0.928 0.203
O8 O 0.582 0.035 0.850
O9 O 0.664 0.785 0.639
O10 O 0.668 0.529 0.414
O11 O 0.987 0.480 0.849
O12 O 0.992 0.862 0.426